A relaxed Mg4Zn8Se crystal, computed with PBE.

a b c (Å): 7.922 7.922 8.377
angles (deg): 90.00 90.00 90.00
Space group I4/mmm (No. 139)
Inequivalent atoms, fractional coordinates:
Mg 0.250 0.250 0.250 [8 per cell]
Zn 0.000 0.224 0.000 [8 per cell]
Zn 0.000 0.335 0.500 [8 per cell]
Se 0.000 0.000 0.500 [2 per cell]

## Properties
Uncorrected formation energy: 0.03 eV per atom
V: 263 Å³/f.u.
Theoretical density: 4.419 g cm⁻³

A relaxed Mg6ZnSe6 crystal, computed with PBE.

a b c (Å): 7.343 10.866 7.754
angles (deg): 90.00 90.00 90.00
Space group Cmmm (No. 65)
Inequivalent atoms, fractional coordinates:
Mg 0.000 0.000 0.174 [4 per cell]
Mg 0.000 0.319 0.000 [4 per cell]
Mg 0.000 0.321 0.500 [4 per cell]
Zn 0.000 0.000 0.500 [2 per cell]
Se 0.000 0.500 0.249 [4 per cell]
Se 0.250 0.250 0.251 [8 per cell]

## Properties
Uncorrected formation energy: -0.49 eV per atom
V: 309 Å³/f.u.
Theoretical density: 3.677 g cm⁻³

Q: Which energy relative to the lowest polymorph listed for this composition values were calculated for the entries above? A: 0.182, 0.272, in eV/atom.